! HoPuMg14 | Alexandria | GGA-PBE | relaxed; values from VASP
! E_form: 0.027 eV/atom
! magnetic moment: 6.27 μB/cell
&SYSTEM
  ibrav = 0, nat = 16, ntyp = 3
/
ATOMIC_SPECIES
Ho 164.93 Ho.upf
Pu 244.00 Pu.upf
Mg 24.30 Mg.upf
CELL_PARAMETERS angstrom
6.877 0.000 0.000
0.000 6.877 0.000
0.000 0.000 8.130
ATOMIC_POSITIONS angstrom
Ho 0.000 0.000 0.000
Pu 3.438 3.438 0.000
Mg 0.000 0.000 4.065
Mg 0.000 3.438 0.000
Mg 0.000 3.438 4.065
Mg 1.715 1.715 2.125
Mg 1.715 1.715 6.005
Mg 1.715 5.162 2.125
Mg 1.715 5.162 6.005
Mg 3.438 0.000 0.000
Mg 3.438 0.000 4.065
Mg 3.438 3.438 4.065
Mg 5.162 1.715 2.125
Mg 5.162 1.715 6.005
Mg 5.162 5.162 2.125
Mg 5.162 5.162 6.005